Run 1
Entry from the Alexandria database: a relaxed Ac2TmTh crystal (GGA-PBE).

abc: 3.6667 3.6667 39.3297
angles: 90.00 90.00 120.00
With the nearest neighbours (Å) after each atom.
Space group R-3m (No. 166, hexagonal axes)
Asymmetric unit:
1 Ac 0.0000 0.0000 0.0898 (multiplicity 6)  1 Th 3.53, 6 Ac 3.67, 3 Tm 3.69
2 Tm 0.0000 0.0000 0.5000 (multiplicity 3)  6 Tm 3.67, 6 Ac 3.69
3 Th 0.0000 0.0000 0.0000 (multiplicity 3)  2 Ac 3.53, 6 Th 3.67

Computed properties:
Its crystal system is trigonal. For the density of states at the Fermi level, the calculation gives 1.53 states/eV/atom. As for the total magnetization: 0.000 μB/f.u.

---

Run 2
Entry from the Alexandria database: a relaxed Ac2TmTh crystal (GGA-PBE).

abc: 3.7670 3.7670 10.5383
angles: 90.00 90.00 90.00
With the nearest neighbours (Å) after each atom.
Space group P4/mmm (No. 123)
Asymmetric unit:
1 Ac 0.0000 0.0000 0.2503 (multiplicity 2)  4 Th 3.74, 4 Tm 3.75, 4 Ac 3.77
2 Tm 0.5000 0.5000 0.0000 (multiplicity 1)  8 Ac 3.75, 4 Tm 3.77
3 Th 0.5000 0.5000 0.5000 (multiplicity 1)  8 Ac 3.74, 4 Th 3.77

Computed properties:
Its crystal system is tetragonal. For the density of states at the Fermi level, the calculation gives 1.89 states/eV/atom. As for the total magnetization: 0.001 μB/f.u.

---

Run 3
Entry from the Alexandria database: a relaxed Ac2TmTh crystal (GGA-PBE).

abc: 8.4522 8.4522 8.4522
angles: 90.00 90.00 90.00
With the nearest neighbours (Å) after each atom.
Space group Fm-3m (No. 225)
Asymmetric unit:
1 Ac 0.2500 0.2500 0.2500 (multiplicity 8)  4 Th 3.66, 4 Tm 3.66
2 Tm 0.0000 0.0000 0.0000 (multiplicity 4)  8 Ac 3.66
3 Th 0.0000 0.0000 0.5000 (multiplicity 4)  8 Ac 3.66

Computed properties:
Its crystal system is cubic. For the density of states at the Fermi level, the calculation gives 2.52 states/eV/atom. As for the total magnetization: 0.000 μB/f.u.

---

Most stable structure, least stable structure: run 2, run 1.

---

Run 1
Entry from the Alexandria database: a relaxed AcTm2Th crystal (GGA-PBE).

abc: 3.5760 3.5760 37.6293
angles: 90.00 90.00 120.00
With the nearest neighbours (Å) after each atom.
Space group R-3m (No. 166, hexagonal axes)
Asymmetric unit:
1 Ac 0.0000 0.0000 0.0000 (multiplicity 3)  2 Tm 3.54, 6 Ac 3.58
2 Tm 0.0000 0.0000 0.0940 (multiplicity 6)  3 Th 3.43, 1 Ac 3.54, 6 Tm 3.58
3 Th 0.0000 0.0000 0.5000 (multiplicity 3)  6 Tm 3.43, 6 Th 3.58

Computed properties:
Its crystal system is trigonal. For the density of states at the Fermi level, the calculation gives 1.50 states/eV/atom. As for the total magnetization: 0.000 μB/f.u.

---

Run 2
Entry from the Alexandria database: a relaxed AcTm2Th crystal (GGA-PBE).

abc: 8.1564 8.1564 8.1564
angles: 90.00 90.00 90.00
With the nearest neighbours (Å) after each atom.
Space group Fm-3m (No. 225)
Asymmetric unit:
1 Ac 0.0000 0.0000 0.0000 (multiplicity 4)  8 Tm 3.53
2 Tm 0.2500 0.2500 0.2500 (multiplicity 8)  4 Ac 3.53, 4 Th 3.53
3 Th 0.0000 0.0000 0.5000 (multiplicity 4)  8 Tm 3.53

Computed properties:
Its crystal system is cubic. For the density of states at the Fermi level, the calculation gives 1.43 states/eV/atom. As for the total magnetization: 0.000 μB/f.u.

---

Most stable structure, least stable structure: run 2, run 1.

---

Run 1
Entry from the Alexandria database: a relaxed AcY6Th crystal (GGA-PBE).

abc: 5.1175 5.1175 10.2913
angles: 90.00 90.00 90.00
With the nearest neighbours (Å) after each atom.
Space group P4/mmm (No. 123)
Asymmetric unit:
1 Ac 0.0000 0.0000 0.0000 (multiplicity 1)  12 Y 3.62-3.70
2 Y 0.0000 0.5000 0.2603 (multiplicity 4)  2 Th 3.55, 8 Y 3.55-3.70, 2 Ac 3.70
3 Y 0.5000 0.5000 0.0000 (multiplicity 1)  4 Ac 3.62, 8 Y 3.70
4 Y 0.5000 0.5000 0.5000 (multiplicity 1)  8 Y 3.55, 4 Th 3.62
5 Th 0.0000 0.0000 0.5000 (multiplicity 1)  12 Y 3.55-3.62

Computed properties:
Its crystal system is tetragonal. For the density of states at the Fermi level, the calculation gives 1.66 states/eV/atom. As for the total magnetization: 0.000 μB/f.u.

---

Run 2
Entry from the Alexandria database: a relaxed AcY6Th crystal (GGA-PBE).

abc: 6.5893 6.8247 7.6443
angles: 116.24 114.60 90.16
With the nearest neighbours (Å) after each atom.
Space group P-1 (No. 2)
Asymmetric unit:
1 Ac 0.0000 0.0000 0.0000 (multiplicity 1)  2 Th 3.41, 8 Y 3.53-3.72
2 Y 0.0723 0.2720 0.5435 (multiplicity 2)  6 Y 3.28-3.52, 1 Th 3.38, 1 Ac 3.53
3 Y 0.4520 0.7596 0.5198 (multiplicity 2)  6 Y 3.28-3.61, 1 Th 3.42, 1 Ac 3.58
4 Y 0.5003 0.2538 0.9994 (multiplicity 2)  6 Y 3.36-3.61, 2 Th 3.69-3.70, 2 Ac 3.72
5 Th 0.0000 0.5000 0.0000 (multiplicity 1)  8 Y 3.38-3.70, 2 Ac 3.41

Computed properties:
Its crystal system is triclinic. For the density of states at the Fermi level, the calculation gives 1.92 states/eV/atom. As for the total magnetization: 0.000 μB/f.u.

---

Most stable structure, least stable structure: run 1, run 2.

---

Run 1
Entry from the Alexandria database: a relaxed AcTh2Zn crystal (GGA-PBE).

abc: 3.5600 3.5600 35.5400
angles: 90.00 90.00 120.00
With the nearest neighbours (Å) after each atom.
Space group R-3m (No. 166, hexagonal axes)
Asymmetric unit:
1 Ac 0.0000 0.0000 0.0000 (multiplicity 3)  6 Ac 3.56, 2 Th 3.58
2 Th 0.0000 0.0000 0.1008 (multiplicity 6)  3 Zn 3.12
3 Zn 0.0000 0.0000 0.5000 (multiplicity 3)  6 Th 3.12

Computed properties:
Its crystal system is trigonal. For the density of states at the Fermi level, the calculation gives 1.52 states/eV/atom. As for the total magnetization: 0.000 μB/f.u.

---

Run 2
Entry from the Alexandria database: a relaxed AcTh2Zn crystal (GGA-PBE).

abc: 3.7428 3.7428 8.8772
angles: 90.00 90.00 90.00
With the nearest neighbours (Å) after each atom.
Space group P4/mmm (No. 123)
Asymmetric unit:
1 Ac 0.0000 0.0000 0.0000 (multiplicity 1)  4 Ac 3.74, 8 Th 3.78
2 Th 0.5000 0.5000 0.3032 (multiplicity 2)  4 Zn 3.17, 1 Th 3.49
3 Zn 0.0000 0.0000 0.5000 (multiplicity 1)  8 Th 3.17

Computed properties:
Its crystal system is tetragonal. For the density of states at the Fermi level, the calculation gives 1.22 states/eV/atom. As for the total magnetization: 0.000 μB/f.u.

---

Run 3
Entry from the Alexandria database: a relaxed AcTh2Zn crystal (GGA-PBE).

abc: 4.9298 4.9298 5.0751
angles: 90.00 90.00 90.00
With the nearest neighbours (Å) after each atom.
Space group P4/mmm (No. 123)
Asymmetric unit:
1 Ac 0.0000 0.0000 0.0000 (multiplicity 1)  4 Zn 3.49, 8 Th 3.54
2 Th 0.0000 0.5000 0.5000 (multiplicity 2)  4 Th 3.49, 4 Ac 3.54, 4 Zn 3.54
3 Zn 0.5000 0.5000 0.0000 (multiplicity 1)  4 Ac 3.49, 8 Th 3.54

Computed properties:
Its crystal system is tetragonal. For the density of states at the Fermi level, the calculation gives 1.11 states/eV/atom. As for the total magnetization: 0.000 μB/f.u.

---

Most stable structure, least stable structure: run 2, run 1.

---

Run 1
Entry from the Alexandria database: a relaxed Ac2ThZn crystal (GGA-PBE).

abc: 3.8164 3.8164 9.2967
angles: 90.00 90.00 90.00
With the nearest neighbours (Å) after each atom.
Space group P4/mmm (No. 123)
Asymmetric unit:
1 Ac 0.0000 0.0000 0.2198 (multiplicity 2)  4 Zn 3.38, 4 Th 3.75
2 Th 0.5000 0.5000 0.5000 (multiplicity 1)  8 Ac 3.75, 4 Th 3.82
3 Zn 0.5000 0.5000 0.0000 (multiplicity 1)  8 Ac 3.38

Computed properties:
Its crystal system is tetragonal. For the density of states at the Fermi level, the calculation gives 0.99 states/eV/atom. As for the total magnetization: 0.000 μB/f.u.

---

Run 2
Entry from the Alexandria database: a relaxed Ac2ThZn crystal (GGA-PBE).

abc: 3.6817 3.6817 36.5611
angles: 90.00 90.00 120.00
With the nearest neighbours (Å) after each atom.
Space group R-3m (No. 166, hexagonal axes)
Asymmetric unit:
1 Ac 0.0000 0.0000 0.0988 (multiplicity 6)  3 Zn 3.27, 1 Th 3.61
2 Th 0.0000 0.0000 0.0000 (multiplicity 3)  2 Ac 3.61, 6 Th 3.68
3 Zn 0.0000 0.0000 0.5000 (multiplicity 3)  6 Ac 3.27

Computed properties:
Its crystal system is trigonal. For the density of states at the Fermi level, the calculation gives 1.50 states/eV/atom. As for the total magnetization: 0.000 μB/f.u.

---

Most stable structure, least stable structure: run 1, run 2.

---

Run 1
Entry from the Alexandria database: a relaxed AcTh2Zr crystal (GGA-PBE).

abc: 3.5081 3.5081 37.1240
angles: 90.00 90.00 120.00
With the nearest neighbours (Å) after each atom.
Space group R-3m (No. 166, hexagonal axes)
Asymmetric unit:
1 Ac 0.0000 0.0000 0.0000 (multiplicity 3)  2 Th 3.47, 6 Ac 3.51
2 Th 0.0000 0.0000 0.0936 (multiplicity 6)  3 Zr 3.39, 1 Ac 3.47, 6 Th 3.51
3 Zr 0.0000 0.0000 0.5000 (multiplicity 3)  6 Th 3.39, 6 Zr 3.51

Computed properties:
Its crystal system is trigonal. For the density of states at the Fermi level, the calculation gives 1.52 states/eV/atom. As for the total magnetization: 0.000 μB/f.u.

---

Run 2
Entry from the Alexandria database: a relaxed AcTh2Zr crystal (GGA-PBE).

abc: 3.6207 3.6207 9.8392
angles: 90.00 90.00 90.00
With the nearest neighbours (Å) after each atom.
Space group P4/mmm (No. 123)
Asymmetric unit:
1 Ac 0.0000 0.0000 0.0000 (multiplicity 1)  4 Ac 3.62, 8 Th 3.74
2 Th 0.5000 0.5000 0.2766 (multiplicity 2)  4 Zr 3.37, 4 Th 3.62, 4 Ac 3.74
3 Zr 0.0000 0.0000 0.5000 (multiplicity 1)  8 Th 3.37, 4 Zr 3.62

Computed properties:
Its crystal system is tetragonal. For the density of states at the Fermi level, the calculation gives 1.89 states/eV/atom. As for the total magnetization: 0.000 μB/f.u.

---

Most stable structure, least stable structure: run 2, run 1.